1.
Here is a geometry-optimized Y4Cd5 structure from the Alexandria database. Energies are from GGA-PBE.

Its total magnetization is 0.000 μB/atom. Its crystal system is tetragonal. The formation energy comes out at -237 meV per atom. The density of states at the Fermi level is 7.34 states/eV/f.u. The value obtained for the energy above the most stable polymorph in this dataset is 24.1 meV/atom.

Cell lengths 7.3374, 7.3374, 7.3374 Å; angles 96.56, 96.56, 140.48 degrees
Closest atoms and distances in Å follow each position.
Element x y z (fractional)
Y: 0.0000 0.3172 0.3172  7 Cd 3.10-3.31
Y: 0.0000 0.6828 0.6828  7 Cd 3.10-3.31
Y: 0.3172 0.0000 0.3172  7 Cd 3.10-3.31
Y: 0.6828 0.0000 0.6828  7 Cd 3.10-3.31
Cd: 0.0000 0.0000 0.0000  4 Y 3.10, 8 Cd 3.34
Cd: 0.3376 0.3376 0.6751  6 Cd 3.17-3.46, 6 Y 3.30-3.31
Cd: 0.3376 0.6624 0.0000  6 Cd 3.17-3.46, 6 Y 3.30-3.31
Cd: 0.6624 0.3376 0.0000  6 Cd 3.17-3.46, 6 Y 3.30-3.31
Cd: 0.6624 0.6624 0.3249  6 Cd 3.17-3.46, 6 Y 3.30-3.31

=====

2.
Here is a geometry-optimized Y3Cd5 structure from the Alexandria database. Energies are from GGA-PBE.

Its total magnetization is 0.000 μB/atom. Its crystal system is triclinic. The formation energy comes out at -233 meV per atom. The density of states at the Fermi level is 5.96 states/eV/f.u. The value obtained for the energy above the most stable polymorph in this dataset is 77.2 meV/atom.

Cell lengths 6.0080, 8.6385, 8.6790 Å; angles 86.08, 71.36, 72.74 degrees
Closest atoms and distances in Å follow each position.
Element x y z (fractional)
Y: 0.2359 0.0324 0.1798  10 Cd 3.13-3.50
Y: 0.2461 0.4571 0.0481  8 Cd 3.11-3.46, 2 Y 3.19
Y: 0.2536 0.3221 0.4672  9 Cd 3.14-3.47
Y: 0.7464 0.6779 0.5328  9 Cd 3.14-3.47
Y: 0.7539 0.5429 0.9519  8 Cd 3.11-3.46, 2 Y 3.19
Y: 0.7641 0.9676 0.8202  10 Cd 3.13-3.50
Cd: 0.1727 0.1799 0.8337  4 Cd 3.07-3.39, 4 Y 3.27-3.37
Cd: 0.1895 0.6199 0.6827  4 Cd 2.89-3.15, 3 Y 3.11-3.22
Cd: 0.2545 0.9552 0.5400  6 Cd 3.10-3.23, 4 Y 3.14-3.19
Cd: 0.3147 0.8130 0.8826  4 Cd 2.89-3.23, 2 Y 3.13-3.15
Cd: 0.3482 0.6632 0.3144  4 Cd 3.06-3.39, 4 Y 3.27-3.32
Cd: 0.6518 0.3368 0.6856  4 Cd 3.06-3.39, 4 Y 3.27-3.32
Cd: 0.6853 0.1870 0.1174  4 Cd 2.89-3.23, 2 Y 3.13-3.15
Cd: 0.7455 0.0448 0.4600  6 Cd 3.10-3.23, 4 Y 3.14-3.19
Cd: 0.8105 0.3801 0.3173  4 Cd 2.89-3.15, 3 Y 3.11-3.22
Cd: 0.8273 0.8201 0.1663  4 Cd 3.07-3.39, 4 Y 3.27-3.37

=====

3.
Here is a geometry-optimized Y4Cd structure from the Alexandria database. Energies are from GGA-PBE.

Its total magnetization is 0.000 μB/atom. Its crystal system is orthorhombic. The formation energy comes out at -48 meV per atom. The density of states at the Fermi level is 5.92 states/eV/f.u. The value obtained for the energy above the most stable polymorph in this dataset is 0.0 meV/atom.

Cell lengths 8.7574, 6.6985, 10.1267 Å; angles 58.58, 40.75, 80.68 degrees
Closest atoms and distances in Å follow each position.
Element x y z (fractional)
Y: 0.0107 0.4900 0.0902  2 Cd 3.18-3.31, 6 Y 3.35-3.54
Y: 0.1598 0.8409 0.2393  2 Cd 3.18-3.31, 6 Y 3.35-3.54
Y: 0.4501 0.5499 0.3512  2 Cd 3.33-3.67, 9 Y 3.35-3.54
Y: 0.4900 0.0107 0.4091  2 Cd 3.18-3.31, 6 Y 3.35-3.54
Y: 0.5499 0.4501 0.6488  2 Cd 3.33-3.67, 9 Y 3.35-3.54
Y: 0.6012 0.8988 0.7001  2 Cd 3.33-3.67, 9 Y 3.35-3.54
Y: 0.8409 0.1598 0.7600  2 Cd 3.18-3.31, 6 Y 3.35-3.54
Y: 0.8988 0.6012 0.7999  2 Cd 3.33-3.67, 9 Y 3.35-3.54
Cd: 0.0392 0.0392 0.9608  6 Y 3.18-3.33
Cd: 0.2892 0.2892 0.2108  6 Y 3.18-3.33

=====

4.
Here is a geometry-optimized YCd3 structure from the Alexandria database. Energies are from GGA-PBE.

Its total magnetization is 0.000 μB/atom. Its crystal system is tetragonal. The formation energy comes out at -256 meV per atom. The density of states at the Fermi level is 2.22 states/eV/f.u.

Cell lengths 9.5771, 9.5771, 9.5771 Å; angles 152.04, 152.04, 39.96 degrees
Closest atoms and distances in Å follow each position.
Element x y z (fractional)
Y: 0.1271 0.1271 0.0000  12 Cd 3.20-3.28
Y: 0.8729 0.8729 0.0000  12 Cd 3.20-3.28
Cd: 0.0000 0.5000 0.5000  4 Y 3.25, 8 Cd 3.27-3.38
Cd: 0.2500 0.7500 0.5000  8 Cd 3.08-3.27, 4 Y 3.20
Cd: 0.3628 0.3628 0.0000  8 Cd 3.08-3.38, 4 Y 3.28
Cd: 0.5000 0.0000 0.5000  4 Y 3.25, 8 Cd 3.27-3.38
Cd: 0.6372 0.6372 0.0000  8 Cd 3.08-3.38, 4 Y 3.28
Cd: 0.7500 0.2500 0.5000  8 Cd 3.08-3.27, 4 Y 3.20

=====

5.
Here is a geometry-optimized Y4Cd5 structure from the Alexandria database. Energies are from GGA-PBE.

Its total magnetization is 0.000 μB/atom. Its crystal system is hexagonal. The formation energy comes out at -262 meV per atom. The density of states at the Fermi level is 8.59 states/eV/f.u. The value obtained for the energy above the most stable polymorph in this dataset is 0.0 meV/atom.

Cell lengths 9.2061, 9.2061, 6.4564 Å; angles 90.00, 90.00, 120.00 degrees
Closest atoms and distances in Å follow each position.
Element x y z (fractional)
Y: 0.0000 0.0000 0.0000  2 Y 3.23, 6 Cd 3.26
Y: 0.0000 0.0000 0.5000  2 Y 3.23, 6 Cd 3.26
Y: 0.0000 0.3611 0.2500  9 Cd 3.05-3.36
Y: 0.0000 0.6389 0.7500  9 Cd 3.05-3.36
Y: 0.3611 0.0000 0.2500  9 Cd 3.05-3.36
Y: 0.3611 0.3611 0.7500  9 Cd 3.05-3.36
Y: 0.6389 0.0000 0.7500  9 Cd 3.05-3.36
Y: 0.6389 0.6389 0.2500  9 Cd 3.05-3.36
Cd: 0.0000 0.3077 0.7500  7 Y 3.05-3.27
Cd: 0.0000 0.6923 0.2500  7 Y 3.05-3.27
Cd: 0.3077 0.0000 0.7500  7 Y 3.05-3.27
Cd: 0.3077 0.3077 0.2500  7 Y 3.05-3.27
Cd: 0.3333 0.6667 0.0000  8 Cd 3.23-3.58, 6 Y 3.36
Cd: 0.3333 0.6667 0.5000  8 Cd 3.23-3.58, 6 Y 3.36
Cd: 0.6667 0.3333 0.0000  8 Cd 3.23-3.58, 6 Y 3.36
Cd: 0.6667 0.3333 0.5000  8 Cd 3.23-3.58, 6 Y 3.36
Cd: 0.6923 0.0000 0.2500  7 Y 3.05-3.27
Cd: 0.6923 0.6923 0.7500  7 Y 3.05-3.27

=====

6.
Here is a geometry-optimized YCd7 structure from the Alexandria database. Energies are from GGA-PBE.

Its total magnetization is 0.000 μB/atom. Its crystal system is cubic. The formation energy comes out at -76 meV per atom. The density of states at the Fermi level is 6.77 states/eV/f.u.

Cell lengths 6.4822, 6.4822, 6.4822 Å; angles 60.00, 60.00, 60.00 degrees
Closest atoms and distances in Å follow each position.
Element x y z (fractional)
Y: 0.0000 0.0000 0.0000  12 Cd 3.24
Cd: 0.0000 0.0000 0.5000  10 Cd 3.24, 2 Y 3.24
Cd: 0.0000 0.5000 0.0000  10 Cd 3.24, 2 Y 3.24
Cd: 0.0000 0.5000 0.5000  10 Cd 3.24, 2 Y 3.24
Cd: 0.5000 0.0000 0.0000  10 Cd 3.24, 2 Y 3.24
Cd: 0.5000 0.0000 0.5000  10 Cd 3.24, 2 Y 3.24
Cd: 0.5000 0.5000 0.0000  10 Cd 3.24, 2 Y 3.24
Cd: 0.5000 0.5000 0.5000  12 Cd 3.24

=====

7.
Here is a geometry-optimized Y4Cd structure from the Alexandria database. Energies are from GGA-PBE.

Its total magnetization is 0.000 μB/atom. Its crystal system is tetragonal. The formation energy comes out at 346 meV per atom. The density of states at the Fermi level is 7.51 states/eV/f.u. The value obtained for the energy above the most stable polymorph in this dataset is 394.4 meV/atom.

Cell lengths 9.4312, 9.4312, 9.4312 Å; angles 153.72, 153.72, 37.50 degrees
Closest atoms and distances in Å follow each position.
Element x y z (fractional)
Y: 0.0897 0.0897 0.0000  5 Y 3.21-3.58, 4 Cd 3.43
Y: 0.2500 0.7500 0.5000  4 Y 3.03
Y: 0.7500 0.2500 0.5000  4 Y 3.03
Y: 0.9103 0.9103 0.0000  5 Y 3.21-3.58, 4 Cd 3.43
Cd: 0.5000 0.5000 0.0000  8 Y 3.43

=====

8.
Here is a geometry-optimized Y3Cd structure from the Alexandria database. Energies are from GGA-PBE.

Its total magnetization is 0.000 μB/atom. Its crystal system is orthorhombic. The formation energy comes out at -62 meV per atom. The density of states at the Fermi level is 5.12 states/eV/f.u. The value obtained for the energy above the most stable polymorph in this dataset is 101.7 meV/atom.

Cell lengths 5.6967, 5.6967, 3.7326 Å; angles 90.00, 90.00, 103.04 degrees
Closest atoms and distances in Å follow each position.
Element x y z (fractional)
Y: 0.0000 0.0000 0.0000  10 Y 3.41-3.73, 2 Cd 3.54
Y: 0.0000 0.5000 0.5000  4 Cd 3.41, 8 Y 3.41-3.73
Y: 0.5000 0.0000 0.5000  4 Cd 3.41, 8 Y 3.41-3.73
Cd: 0.5000 0.5000 0.0000  10 Y 3.41-3.54, 2 Cd 3.73

=====

Question: total magnetization of number 1 (Y4Cd5)?
Answer: 0.000 μB/atom

=====

Question: Which value of total magnetization does entry 8 give?
Answer: 0.000 μB/atom

=====

Question: Look up the total magnetization of the second one.
Answer: 0.000 μB/atom